A relaxed structure of TcWN2, computed with PBE-GGA.

Structure (POSCAR):
```
TcWN2
1.0
1.6503 0.0000 6.6090
-0.8251 1.4292 6.6090
-0.8251 -1.4292 6.6090
Tc W N
1 1 2
Direct
0.0000 0.0000 0.0000
0.5000 0.5000 0.5000
0.8985 0.8985 0.8985
0.1015 0.1015 0.1015
```

Its offset from the most stable computed form is 10.3 kJ/mol of atoms. The calculation puts the uncorrected formation energy at 0.148 eV per atom. For the size of the total moment, the calculation gives 0.000 μB/atom. As for the space group: R-3m.

---

A relaxed structure of CeNd2Mg2In2, computed with PBE-GGA.

Structure (POSCAR):
```
CeNd2Mg2In2
1.0
-1.5243 -1.9558 -4.4593
3.0590 -3.1701 -2.5743
-3.0312 -8.5456 1.8650
Ce Nd Mg In
1 2 2 2
Direct
0.0000 0.0000 0.0000
0.1279 0.1279 0.6164
0.8721 0.8721 0.3836
0.6020 0.6020 0.1940
0.3980 0.3980 0.8060
0.7347 0.7347 0.7959
0.2653 0.2653 0.2041
```

The value obtained for the formation energy is -0.2191 eV/atom. For the size of the total moment, the calculation gives 0.171 μB/atom. As for the space group: R-3m.

---

A relaxed structure of Dy2Ni2Bi, computed with PBE-GGA.

Structure (POSCAR):
```
Dy2Ni2Bi
1.0
4.8062 0.0000 0.0000
2.4031 4.1623 0.0000
2.4031 1.3874 5.1897
Dy Ni Bi
2 2 1
Direct
0.7317 0.7317 0.8049
0.2683 0.2683 0.1951
0.9220 0.9220 0.2340
0.0780 0.0780 0.7660
0.5000 0.5000 0.5000
```

The value obtained for the formation energy is -0.3701 eV/atom. For the size of the total moment, the calculation gives 0.000 μB/atom. As for the space group: R-3m.

---

A relaxed structure of NpTl2PtO6, computed with PBE-GGA.

Structure (POSCAR):
```
NpTl2PtO6
1.0
-0.9610 3.9729 4.2332
3.7734 -2.8337 3.5155
1.7141 1.7560 -5.3478
Np Tl Pt O
1 2 1 6
Direct
0.4999 0.5004 0.9998
0.7499 0.2504 0.4998
0.2499 0.7504 0.4998
0.9999 0.0004 0.9998
0.7522 0.7527 0.9997
0.7522 0.7527 0.5045
0.2476 0.2481 0.9999
0.7522 0.2481 0.9998
0.2476 0.2481 0.4951
0.2476 0.7527 0.9998
```

The calculation puts the uncorrected formation energy at -1.394 eV per atom. For the size of the total moment, the calculation gives 0.100 μB/atom. As for the space group: Fm-3m.

---

A relaxed structure of La6Bi5Ru, computed with PBE-GGA.

Structure (POSCAR):
```
La6Bi5Ru
1.0
-1.4765 -6.4066 4.5333
5.4037 -0.3985 5.9136
-1.4342 3.6099 6.9929
La Bi Ru
6 5 1
Direct
0.7711 0.0759 0.3005
0.2289 0.6236 0.3005
0.2343 0.2207 0.0000
0.7657 0.7793 0.0000
0.7711 0.3764 0.6995
0.2289 0.9241 0.6995
0.5000 0.1788 0.6423
0.0000 0.3351 0.3298
0.5000 0.5000 0.0000
0.0000 0.6649 0.6702
0.5000 0.8212 0.3577
0.0000 0.0000 0.0000
```

The value obtained for the formation energy is -0.8022 eV/atom. For the size of the total moment, the calculation gives 0.000 μB/atom. As for the space group: C2/m.

---

A relaxed structure of LiTc2Pb, computed with PBE-GGA.

Structure (POSCAR):
```
LiTc2Pb
1.0
2.8756 0.0116 0.0000
-1.0308 2.6845 0.0000
0.0000 0.0000 9.0071
Li Pb Tc
1 1 2
Direct
0.5000 0.5000 0.2500
0.5000 0.5000 0.7500
0.0000 0.0000 0.0056
0.0000 0.0000 0.4944
```

The value obtained for the formation energy is 0.8936 eV/atom. For the size of the total moment, the calculation gives 0.000 μB/atom. As for the space group: Cmmm.

---

A relaxed structure of K2Hf3Br9, computed with PBE-GGA.

Structure (POSCAR):
```
K2Hf3Br9
1.0
10.2174 0.0149 -2.2818
-3.4844 8.6780 -4.9481
-0.0040 -0.0319 10.5797
K Hf Br
4 6 18
Direct
0.1710 0.5584 0.2314
0.8290 0.7686 0.4416
0.8290 0.4416 0.7686
0.1710 0.2314 0.5584
0.3661 0.1383 0.1383
0.6339 0.8617 0.8617
0.6420 0.0443 0.2218
0.3580 0.7782 0.9557
0.3580 0.9557 0.7782
0.6420 0.2218 0.0443
0.5000 0.2084 0.7916
0.1733 0.4995 0.8950
0.1733 0.8950 0.4995
0.8267 0.5005 0.1050
0.7829 0.7072 0.7072
0.2171 0.2928 0.2928
0.5229 0.4141 0.2044
0.4771 0.7956 0.5859
0.4771 0.5859 0.7956
0.5229 0.2044 0.4141
0.1667 0.6843 0.6843
0.8150 0.9055 0.1121
0.8150 0.1121 0.9055
0.1850 0.0945 0.8879
0.1850 0.8879 0.0945
0.5000 0.7916 0.2084
0.8333 0.3157 0.3157
0.8267 0.1050 0.5005
```

The calculation puts the uncorrected formation energy at -1.364 eV per atom. For the size of the total moment, the calculation gives 0.143 μB/atom. As for the space group: C2/m.

---

A relaxed structure of CeBIr2, computed with PBE-GGA.

Structure (POSCAR):
```
CeBIr2
1.0
-0.9571 3.5517 -0.2436
-3.4412 -3.0331 -2.7437
-3.8439 -0.6555 5.5457
Ce B Ir
2 2 4
Direct
0.9368 0.8739 0.2500
0.0632 0.1261 0.7500
0.7818 0.5628 0.7500
0.2182 0.4372 0.2500
0.3448 0.6891 0.5514
0.6552 0.3109 0.4486
0.3448 0.6891 0.9486
0.6552 0.3109 0.0514
```

The value obtained for the formation energy is -0.3894 eV/atom. For the size of the total moment, the calculation gives 0.000 μB/atom. As for the space group: Cmcm.

---

A relaxed structure of CePaPS, computed with PBE-GGA.

Structure (POSCAR):
```
CePaPS
1.0
-1.3087 -2.6222 -2.6547
0.6637 -3.8605 0.5410
-14.2688 -3.4303 7.4773
Ce Pa P S
2 2 2 2
Direct
0.7995 0.7995 0.6014
0.2005 0.2005 0.3986
0.6001 0.6001 0.1997
0.3999 0.3999 0.8003
0.0991 0.0991 0.7027
0.9009 0.9009 0.2973
0.7034 0.7034 0.8899
0.2966 0.2966 0.1101
```

Its offset from the most stable computed form is 0.6 kJ/mol of atoms. The calculation puts the uncorrected formation energy at -1.220 eV per atom. For the size of the total moment, the calculation gives 0.294 μB/atom. As for the space group: R-3m.

---

A relaxed structure of Cu2HgTe, computed with PBE-GGA.

Structure (POSCAR):
```
Cu2HgTe
1.0
7.0204 0.1121 -0.1121
5.0277 4.9012 0.1121
-6.1264 -2.2607 2.5823
Cu Hg Te
2 1 1
Direct
0.9325 0.9325 0.0000
0.8073 0.3073 0.5000
0.5068 0.5068 0.0000
0.2534 0.7534 0.5000
```

Its offset from the most stable computed form is 8.2 kJ/mol of atoms. The calculation puts the uncorrected formation energy at 0.194 eV per atom. For the size of the total moment, the calculation gives 0.000 μB/atom. As for the space group: Imm2.

---

A relaxed structure of PaMnPd, computed with PBE-GGA.

Structure (POSCAR):
```
PaMnPd
1.0
3.5514 0.0000 0.0000
0.0000 3.5514 0.0000
-1.7757 -1.7757 4.4683
Mn Pa Pd
1 1 1
Direct
0.2809 0.2809 0.5619
0.9484 0.9484 0.8969
0.6206 0.6206 0.2413
```

Its offset from the most stable computed form is 0.0 kJ/mol of atoms. The value obtained for the formation energy is -0.0823 eV/atom. For the size of the total moment, the calculation gives 0.830 μB/atom. As for the space group: I4mm.

---

A relaxed structure of Pm4CoI2Br, computed with PBE-GGA.

Structure (POSCAR):
```
Pm4CoI2Br
1.0
-2.4128 2.9576 -1.4418
-6.0532 -3.0867 3.7981
3.4836 5.3271 5.0980
Pm Co I Br
4 1 2 1
Direct
0.5000 0.2759 0.1966
0.5000 0.7241 0.8034
0.0000 0.3092 0.8132
0.0000 0.6908 0.1868
0.5000 0.5000 0.0000
0.5000 0.0000 0.5000
0.0000 0.5000 0.5000
0.0000 0.0000 0.0000
```

The calculation puts the uncorrected formation energy at -0.793 eV per atom. For the size of the total moment, the calculation gives 0.000 μB/atom. As for the space group: P2/m.

---

A relaxed structure of La2SmEr4, computed with PBE-GGA.

Structure (POSCAR):
```
La2SmEr4
1.0
8.9195 0.3997 -3.2629
-3.8219 5.6306 -2.0837
-0.3133 0.7164 8.6381
Er Sm La
8 2 4
Direct
0.8353 0.3920 0.8752
0.9751 0.6432 0.6093
0.5622 0.6394 0.4258
0.1006 0.3749 0.2908
0.5621 0.1466 0.4260
0.6984 0.8942 0.1582
0.2735 0.1464 0.0278
0.1027 0.8796 0.2951
0.7049 0.3982 0.1632
0.8454 0.8933 0.8791
0.4273 0.8939 0.7223
0.4259 0.4077 0.7331
0.9710 0.1408 0.6066
0.2655 0.6499 0.0375
```

Its offset from the most stable computed form is 0.0 kJ/mol of atoms. The value obtained for the formation energy is 0.0410 eV/atom. For the size of the total moment, the calculation gives 0.000 μB/atom. As for the space group: P1.

---

A relaxed structure of PmTmBeIn, computed with PBE-GGA.

Structure (POSCAR):
```
PmTmBeIn
1.0
-0.0058 4.6963 2.1177
-0.2803 0.5174 5.1180
4.1029 1.6347 2.6523
Be Tm In Pm
1 1 1 1
Direct
0.0000 0.0000 0.0000
0.7500 0.7500 0.7500
0.5000 0.5000 0.5000
0.2500 0.2500 0.2500
```

The value obtained for the formation energy is -0.0956 eV/atom. For the size of the total moment, the calculation gives 0.000 μB/atom. As for the space group: F-43m.

---

A relaxed structure of PmHf2Ti, computed with PBE-GGA.

Structure (POSCAR):
```
PmHf2Ti
1.0
-0.5104 3.5112 0.6029
-3.5621 -0.5125 -0.0305
0.1141 -1.2229 7.2189
Ti Hf Pm
1 2 1
Direct
0.5000 0.5000 0.0000
0.0000 0.0000 0.8013
0.0000 0.0000 0.1987
0.5000 0.5000 0.5000
```

Its offset from the most stable computed form is 0.0 kJ/mol of atoms. The value obtained for the formation energy is 0.1938 eV/atom. For the size of the total moment, the calculation gives 0.000 μB/atom. As for the space group: P4/mmm.

---

A relaxed structure of Ca2Pm2Pt3, computed with PBE-GGA.

Structure (POSCAR):
```
Ca2Pm2Pt3
1.0
-1.2295 3.2158 -3.6124
0.9670 -4.7653 -1.1246
-7.4004 -2.4047 3.8252
Ca Pm Pt
2 2 3
Direct
0.7421 0.3712 0.1132
0.2579 0.6288 0.8868
0.2434 0.1219 0.3650
0.7566 0.8781 0.6350
0.0000 0.0000 0.0000
0.4859 0.2427 0.7290
0.5141 0.7573 0.2710
```

The value obtained for the formation energy is -0.9150 eV/atom. For the size of the total moment, the calculation gives 0.000 μB/atom. As for the space group: R-3m.

---

A relaxed structure of Pu2ScAlO6, computed with PBE-GGA.

Structure (POSCAR):
```
Pu2ScAlO6
1.0
5.4755 0.0000 0.0000
0.0000 5.6321 0.0000
0.0000 0.0000 7.7713
Pu Sc Al O
4 2 2 12
Direct
0.5000 0.7837 0.2365
0.0000 0.2163 0.7365
0.5000 0.7837 0.7635
0.0000 0.2163 0.2635
0.0000 0.7237 0.5000
0.5000 0.2763 0.0000
0.5000 0.2373 0.5000
0.0000 0.7627 0.0000
0.5000 0.2173 0.2595
0.5000 0.2173 0.7405
0.0000 0.7827 0.2405
0.0000 0.7827 0.7595
0.2617 0.9900 0.5000
0.7383 0.9900 0.5000
0.2470 0.4555 0.5000
0.7530 0.4555 0.5000
0.7470 0.5445 0.0000
0.2530 0.5445 0.0000
0.2383 0.0100 0.0000
0.7617 0.0100 0.0000
```

The calculation puts the uncorrected formation energy at -2.957 eV per atom. For the size of the total moment, the calculation gives 1.000 μB/atom. As for the space group: Pmmn.

---

A relaxed structure of LiNd2PuSe5, computed with PBE-GGA.

Structure (POSCAR):
```
LiNd2PuSe5
1.0
-0.1244 -4.0005 -1.1675
7.3906 3.0837 -3.9097
6.6368 -3.1440 10.0660
Li Nd Pu Se
2 4 2 10
Direct
0.5174 0.0348 0.9799
0.4826 0.9652 0.4799
0.8755 0.7510 0.7988
0.1089 0.2177 0.6850
0.1245 0.2490 0.2988
0.8911 0.7823 0.1850
0.8016 0.6032 0.5026
0.1984 0.3968 0.0026
0.3650 0.7300 0.9982
0.6916 0.3831 0.8423
0.5006 0.0013 0.7825
0.2879 0.5758 0.6618
0.9535 0.9069 0.5729
0.6350 0.2700 0.4982
0.3084 0.6169 0.3423
0.4994 0.9987 0.2825
0.7121 0.4242 0.1618
0.0465 0.0931 0.0729
```

The calculation puts the uncorrected formation energy at -1.613 eV per atom. For the size of the total moment, the calculation gives 0.556 μB/atom. As for the space group: Cmc2_1.

---

A relaxed structure of AcPm2Sm, computed with PBE-GGA.

Structure (POSCAR):
```
AcPm2Sm
1.0
5.9296 0.0000 0.0000
2.9648 5.1352 0.0000
2.9648 1.7117 4.8415
Ac Sm Pm
1 1 2
Direct
0.0000 0.0000 0.0000
0.5000 0.5000 0.5000
0.2500 0.2500 0.2500
0.7500 0.7500 0.7500
```

Its offset from the most stable computed form is 11.3 kJ/mol of atoms. The value obtained for the formation energy is 0.1481 eV/atom. For the size of the total moment, the calculation gives 0.001 μB/atom. As for the space group: Fm-3m.

---

A relaxed structure of YPdOF2, computed with PBE-GGA.

Structure (POSCAR):
```
YPdOF2
1.0
4.2757 0.0000 0.0000
0.0000 4.2757 0.0000
0.0000 0.0000 4.1070
Y O Pd F
1 1 1 2
Direct
0.5000 0.5000 0.5000
0.0000 0.0000 0.5000
0.0000 0.0000 0.0000
0.0000 0.5000 0.0000
0.5000 0.0000 0.0000
```

Its offset from the most stable computed form is 73.0 kJ/mol of atoms. The calculation puts the uncorrected formation energy at -1.427 eV per atom. For the size of the total moment, the calculation gives 0.000 μB/atom. As for the space group: P4/mmm.

---

A relaxed structure of Ho4Hg3Ir, computed with PBE-GGA.

Structure (POSCAR):
```
Ho4Hg3Ir
1.0
3.5786 0.0000 0.0000
0.0000 3.5786 0.0000
0.0000 0.0000 14.9776
Ir Ho Hg
1 4 3
Direct
0.5000 0.5000 0.0000
0.0000 0.0000 0.8934
0.0000 0.0000 0.1066
0.0000 0.0000 0.3708
0.0000 0.0000 0.6292
0.5000 0.5000 0.2449
0.5000 0.5000 0.5000
0.5000 0.5000 0.7551
```

The value obtained for the formation energy is -0.5897 eV/atom. For the size of the total moment, the calculation gives 0.000 μB/atom. As for the space group: P4/mmm.

---

A relaxed structure of Ac6ZnPt4, computed with PBE-GGA.

Structure (POSCAR):
```
Ac6ZnPt4
1.0
4.3734 0.0000 0.0000
-2.1867 7.3323 0.0000
0.0000 0.0000 22.5812
Ac Zn Pt
12 2 8
Direct
0.5000 0.0000 0.0000
0.5000 0.0000 0.5000
0.0418 0.0836 0.3410
0.9582 0.9164 0.6590
0.9582 0.9164 0.8410
0.0418 0.0836 0.1590
0.7722 0.5443 0.4177
0.2278 0.4557 0.5823
0.2278 0.4557 0.9177
0.7722 0.5443 0.0823
0.3231 0.6462 0.2500
0.6769 0.3538 0.7500
0.6553 0.3106 0.2500
0.3447 0.6894 0.7500
0.8629 0.7258 0.5418
0.4064 0.8128 0.1272
0.1371 0.2742 0.4582
0.5936 0.1872 0.8728
0.8629 0.7258 0.9582
0.1371 0.2742 0.0418
0.5936 0.1872 0.6272
0.4064 0.8128 0.3728
```

The value obtained for the formation energy is -0.9148 eV/atom. For the size of the total moment, the calculation gives 0.000 μB/atom. As for the space group: Cmcm.

---

A relaxed structure of BiS2NCl, computed with PBE-GGA.

Structure (POSCAR):
```
BiS2NCl
1.0
5.3550 0.0000 0.0000
0.0000 5.3550 0.0000
0.0000 0.0000 4.6874
S N Bi Cl
2 1 1 1
Direct
0.0000 0.5000 0.0000
0.5000 0.0000 0.0000
0.0000 0.0000 0.5000
0.0000 0.0000 0.0000
0.5000 0.5000 0.5000
```

Its offset from the most stable computed form is 50.1 kJ/mol of atoms. The calculation puts the uncorrected formation energy at 1.261 eV per atom. For the size of the total moment, the calculation gives 0.900 μB/atom. As for the space group: P4/mmm.

---

| no. | uncorrected energy (eV per atom) |
| --- | --- |
| 1 | -9.8440 |
| 2 | -3.6671 |
| 3 | -5.2997 |
| 4 | -6.7405 |
| 5 | -5.6560 |
| 6 | -5.6949 |
| 7 | -4.7287 |
| 8 | -7.9728 |
| 9 | -7.4619 |
| 10 | -2.7149 |
| 11 | -8.0351 |
| 12 | -4.6532 |
| 13 | -4.6484 |
| 14 | -4.0173 |
| 15 | -7.9443 |
| 16 | -5.4332 |
| 17 | -9.8062 |
| 18 | -6.4135 |
| 19 | -4.4342 |
| 20 | -5.4985 |
| 21 | -4.0994 |
| 22 | -5.4682 |
| 23 | -3.2006 |